Compound: KBeOs3
Source: Alexandria
Functional: PBE
Structure: relaxed

```
KBeOs3
1.0
-4.114 0.043 1.369
-1.185 -2.286 -3.488
0.687 -3.684 2.180
Os K Be
3 1 1
direct
0.500 0.000 0.000
0.000 0.000 0.500
0.000 0.500 0.000
0.500 0.500 0.500
0.000 0.000 0.000
```

Distance to the lowest polymorph of the same formula   0.000 eV per atom
Energy of formation   1.56 eV per atom
Raw total energy   -6.1448 eV/atom
Theoretical density   12.608 g/cm3